Entry 1:
## BaNaW2Br (GGA-PBEsol)

Data for crystalline BaNaW2Br at its relaxed geometry.

- formation energy without anion corrections (eV per atom) = 2.836
- spin magnetization (μB/cell) = 4.2

abc: 5.130 5.130 7.127
angles: 90.00 90.00 90.00
Last column: magnetic moment on the atom in μB.
Element x y z (fractional)
Na  0.000  0.000  0.500  0.00
Br  0.500  0.500  0.500  0.08
Ba  0.000  0.000  0.000  0.03
W  0.000  0.500  0.000  1.48
W  0.500  0.000  0.000  1.48



Entry 2:
## Ba2NbBr2 (GGA-PBEsol)

Data for crystalline Ba2NbBr2 at its relaxed geometry.

- formation energy without anion corrections (eV per atom) = -0.338
- spin magnetization (μB/cell) = 5.0

abc: 4.914 4.914 8.899
angles: 106.03 106.03 90.00
Last column: magnetic moment on the atom in μB.
Element x y z (fractional)
Nb  0.000  0.000  0.000  2.97
Ba  0.374  0.374  0.748  0.09
Ba  0.626  0.626  0.252  0.09
Br  0.250  0.750  0.500  0.02
Br  0.750  0.250  0.500  0.02



Entry 3:
## Ba2NbPbBr (GGA-PBEsol)

Data for crystalline Ba2NbPbBr at its relaxed geometry.

- formation energy without anion corrections (eV per atom) = 0.281
- spin magnetization (μB/cell) = 0.0

abc: 4.852 6.181 6.181
angles: 90.00 90.00 90.00
Element x y z (fractional)
Pb  0.500  0.500  0.500
Nb  0.000  0.000  0.000
Ba  0.000  0.000  0.500
Ba  0.000  0.500  0.000
Br  0.500  0.000  0.000



Entry 4:
## BaSc2NbBr (GGA-PBEsol)

Data for crystalline BaSc2NbBr at its relaxed geometry.

- formation energy without anion corrections (eV per atom) = 0.339
- spin magnetization (μB/cell) = 0.0

abc: 4.951 5.162 5.162
angles: 90.00 90.00 90.00
Element x y z (fractional)
Sc  0.000  0.000  0.500
Sc  0.000  0.500  0.000
Nb  0.500  0.000  0.000
Ba  0.500  0.500  0.500
Br  0.000  0.000  0.000



Entry 5:
## BaNbSe2Br (GGA-PBEsol)

Data for crystalline BaNbSe2Br at its relaxed geometry.

- formation energy without anion corrections (eV per atom) = 0.713
- spin magnetization (μB/cell) = 2.3

abc: 5.806 5.866 5.866
angles: 90.00 90.00 90.00
Last column: magnetic moment on the atom in μB.
Element x y z (fractional)
Nb  0.500  0.500  0.500  2.84
Se  0.000  0.000  0.500  -0.38
Se  0.000  0.500  0.000  -0.38
Ba  0.000  0.000  0.000  -0.03
Br  0.500  0.000  0.000  -0.03



Entry 6:
## BaNiBr (GGA-PBEsol)

Data for crystalline BaNiBr at its relaxed geometry.

- formation energy without anion corrections (eV per atom) = -0.304
- spin magnetization (μB/cell) = 1.0

abc: 4.331 4.330 5.545
angles: 112.98 112.99 90.00
Last column: magnetic moment on the atom in μB.
Element x y z (fractional)
Ba  0.983  0.983  0.966  0.03
Br  0.633  0.633  0.267  0.07
Ni  0.383  0.383  0.767  0.50



Entry 7:
## Ba2NiBr (GGA-PBEsol)

Data for crystalline Ba2NiBr at its relaxed geometry.

- formation energy without anion corrections (eV per atom) = -0.562
- spin magnetization (μB/cell) = 0.0

abc: 3.780 5.528 5.522
angles: 90.00 90.00 90.00
Element x y z (fractional)
Ba  0.000  0.000  0.000
Ba  0.000  0.500  0.500
Br  0.500  0.500  0.000
Ni  0.500  0.000  0.500



Entry 8:
## Ba2NiBr (GGA-PBEsol)

Data for crystalline Ba2NiBr at its relaxed geometry.

- formation energy without anion corrections (eV per atom) = -0.722
- spin magnetization (μB/cell) = 0.0

abc: 4.355 4.355 8.573
angles: 75.29 75.29 60.00
Element x y z (fractional)
Ni  0.000  0.000  0.000
Ba  0.262  0.262  0.213
Ba  0.738  0.738  0.787
Br  0.500  0.500  0.500



Entry 9:
## BaZrNi2Br (GGA-PBEsol)

Data for crystalline BaZrNi2Br at its relaxed geometry.

- formation energy without anion corrections (eV per atom) = 1.325
- spin magnetization (μB/cell) = 1.6

abc: 4.807 4.807 5.696
angles: 90.00 90.00 90.00
Last column: magnetic moment on the atom in μB.
Element x y z (fractional)
Ni  0.000  0.500  0.000  0.03
Ni  0.500  0.000  0.000  0.03
Br  0.000  0.000  0.500  0.01
Ba  0.000  0.000  0.000  0.01
Zr  0.500  0.500  0.500  0.87



Entry 10:
## BaBr2O6 (GGA-PBEsol)

Data for crystalline BaBr2O6 at its relaxed geometry.

- formation energy without anion corrections (eV per atom) = -0.714
- spin magnetization (μB/cell) = 0.0

abc: 7.318 7.318 7.694
angles: 101.75 111.60 113.51
Element x y z (fractional)
Ba  0.396  0.146  0.250
Ba  0.604  0.854  0.750
Br  0.498  0.302  0.820
Br  0.982  0.678  0.680
Br  0.502  0.698  0.180
Br  0.018  0.322  0.320
O  0.596  0.218  0.003
O  0.715  0.593  0.497
O  0.404  0.782  0.997
O  0.285  0.407  0.503
O  0.568  0.200  0.654
O  0.046  0.913  0.846
O  0.432  0.800  0.346
O  0.954  0.087  0.154
O  0.680  0.572  0.925
O  0.147  0.755  0.575
O  0.320  0.428  0.075
O  0.853  0.245  0.425



Entry 11:
## Ba3P3BrO10 (GGA-PBEsol)

Data for crystalline Ba3P3BrO10 at its relaxed geometry.

- formation energy without anion corrections (eV per atom) = -2.674
- spin magnetization (μB/cell) = 0.0

abc: 7.239 11.256 13.937
angles: 90.00 90.00 90.00
Element x y z (fractional)
Ba  0.879  0.739  0.090
Ba  0.621  0.261  0.590
Ba  0.379  0.761  0.910
Ba  0.121  0.239  0.410
Ba  0.857  0.258  0.115
Ba  0.643  0.742  0.615
Ba  0.357  0.242  0.885
Ba  0.143  0.758  0.385
Ba  0.621  0.995  0.319
Ba  0.879  0.005  0.819
Ba  0.121  0.505  0.681
Ba  0.379  0.495  0.181
P  0.921  0.508  0.252
P  0.579  0.492  0.752
P  0.421  0.992  0.748
P  0.079  0.008  0.248
P  0.822  0.516  0.464
P  0.678  0.484  0.964
P  0.322  0.984  0.536
P  0.178  0.016  0.036
P  0.388  0.526  0.477
P  0.112  0.474  0.977
P  0.888  0.974  0.523
P  0.612  0.026  0.023
Br  0.465  0.773  0.196
Br  0.035  0.227  0.696
Br  0.965  0.727  0.804
Br  0.535  0.273  0.304
O  0.973  0.892  0.236
O  0.527  0.108  0.736
O  0.473  0.608  0.764
O  0.027  0.392  0.264
O  0.952  0.114  0.268
O  0.548  0.886  0.768
O  0.452  0.386  0.732
O  0.048  0.614  0.232
O  0.835  0.097  0.485
O  0.665  0.903  0.985
O  0.335  0.403  0.515
O  0.165  0.597  0.015
O  0.825  0.873  0.457
O  0.675  0.127  0.957
O  0.325  0.627  0.543
O  0.175  0.373  0.043
O  0.822  0.545  0.353
O  0.678  0.455  0.853
O  0.322  0.955  0.647
O  0.178  0.045  0.147
O  0.739  0.500  0.681
O  0.761  0.500  0.181
O  0.239  0.000  0.319
O  0.261  0.000  0.819
O  0.623  0.611  0.985
O  0.877  0.389  0.485
O  0.123  0.889  0.015
O  0.377  0.111  0.515
O  0.613  0.537  0.491
O  0.887  0.463  0.991
O  0.113  0.963  0.509
O  0.387  0.037  0.009
O  0.429  0.888  0.484
O  0.071  0.112  0.984
O  0.929  0.612  0.516
O  0.571  0.388  0.016
O  0.342  0.549  0.372
O  0.158  0.451  0.872
O  0.842  0.951  0.628
O  0.658  0.049  0.128



Entry 12:
## Ba5Re3BrO15 (GGA-PBEsol)

Data for crystalline Ba5Re3BrO15 at its relaxed geometry.

- formation energy without anion corrections (eV per atom) = -2.298
- spin magnetization (μB/cell) = 0.0

abc: 7.804 10.962 10.962
angles: 120.00 90.00 90.00
Element x y z (fractional)
Ba  0.756  0.734  0.000
Ba  0.497  0.333  0.667
Ba  0.256  0.734  0.734
Ba  0.756  0.266  0.266
Ba  0.497  0.667  0.333
Ba  0.256  0.000  0.266
Ba  0.997  0.667  0.333
Ba  0.997  0.333  0.667
Ba  0.756  0.000  0.734
Ba  0.256  0.266  0.000
Re  0.202  0.391  0.391
Re  0.702  0.000  0.391
Re  0.202  0.000  0.609
Re  0.202  0.609  0.000
Re  0.702  0.391  0.000
Re  0.702  0.609  0.609
Br  0.525  0.000  0.000
Br  0.025  0.000  0.000
O  0.742  0.447  0.868
O  0.560  0.133  0.390
O  0.060  0.743  0.133
O  0.060  0.390  0.257
O  0.560  0.743  0.610
O  0.382  0.704  0.000
O  0.742  0.553  0.421
O  0.742  0.132  0.579
O  0.560  0.257  0.867
O  0.242  0.132  0.553
O  0.560  0.390  0.133
O  0.882  0.000  0.296
O  0.742  0.421  0.553
O  0.060  0.610  0.867
O  0.742  0.579  0.132
O  0.060  0.133  0.743
O  0.382  0.000  0.704
O  0.242  0.868  0.421
O  0.882  0.296  0.000
O  0.060  0.867  0.610
O  0.242  0.447  0.579
O  0.242  0.579  0.447
O  0.242  0.421  0.868
O  0.242  0.553  0.132
O  0.060  0.257  0.390
O  0.382  0.296  0.296
O  0.560  0.867  0.257
O  0.742  0.868  0.447
O  0.882  0.704  0.704
O  0.560  0.610  0.743